No. 1
VASP calculation (PBE) on crystalline TbTm2In3CuGe2 at its relaxed geometry.

Values from the calculation:
Uncorrected energy: -39.45 eV/cell
M_tot: 0.0 μB per formula unit
Space group: Amm2, No. 38

abc: 4.200 7.365 7.365
angles: 120.15 90.00 90.00
Atoms (fractional coordinates):
Cu 0.000 0.005 0.005
Ge 0.500 0.667 0.330
Ge 0.500 0.330 0.667
In 0.500 0.244 0.244
In 0.500 0.000 0.757
In 0.500 0.757 0.000
Tb 0.000 0.597 0.597
Tm 0.000 0.999 0.402
Tm 0.000 0.402 0.999


No. 2
VASP calculation (PBE) on crystalline DyHo2Tm at its relaxed geometry.

Values from the calculation:
Formation enthalpy at 0 K: 0.004 eV per atom
Uncorrected energy: -36.43 eV/cell
M_tot: 0.1 μB per formula unit
Space group: Amm2, No. 38

abc: 5.570 7.159 7.159
angles: 60.00 90.00 90.00
Atoms (fractional coordinates):
Dy 0.000 0.333 0.333
Dy 0.500 0.667 0.667
Ho 0.500 0.166 0.166
Ho 0.000 0.834 0.333
Ho 0.000 0.333 0.834
Ho 0.000 0.834 0.834
Tm 0.500 0.667 0.166
Tm 0.500 0.166 0.667


No. 3
VASP calculation (PBE) on crystalline HfTaBeTc at its relaxed geometry.

Values from the calculation:
E above lowest polymorph: 0.000 eV per atom
Uncorrected energy: -36.51 eV/cell
M_tot: 0.0 μB per formula unit
Space group: F-43m, No. 216

abc: 4.486 4.486 4.486
angles: 60.00 60.00 60.00
Atoms (fractional coordinates):
Be 0.750 0.750 0.750
Hf 0.500 0.500 0.500
Ta 0.000 0.000 0.000
Tc 0.250 0.250 0.250


> Number 1 is which compound?

TbTm2In3CuGe2